Material: LiNd3Ho2Te6
Method: DFT, PBE
State: optimized geometry

POSCAR file:
```
LiNd3Ho2Te6
1.0
4.395 0.000 0.000
0.000 8.837 0.269
-2.197 -2.595 9.273
Te Nd Li Ho
6 3 1 2
Direct
0.669 0.576 0.339 Te
0.661 0.088 0.322 Te
0.339 0.912 0.678 Te
0.003 0.236 0.006 Te
0.331 0.424 0.661 Te
0.997 0.764 0.994 Te
0.166 0.829 0.332 Nd
0.500 0.500 0.000 Nd
0.834 0.171 0.668 Nd
0.500 0.000 0.000 Li
0.834 0.664 0.668 Ho
0.166 0.336 0.332 Ho
```

Summary:
The crystal system is monoclinic. As for the raw formation energy: -1.35 eV per atom. As for the total energy: -5.035 eV/atom. The value obtained for the size of the total moment is 0.0 Bohr magnetons per cell. The space group is C2/m (12).

Material: Ca2ZrTc
Method: DFT, PBE
State: optimized geometry

POSCAR file:
```
Ca2ZrTc
1.0
-8.919 4.636 -3.998
0.488 -6.504 -8.630
-5.568 -2.552 -5.171
Tc Zr Ca
2 2 4
Direct
0.750 0.250 0.500 Tc
0.000 0.000 0.000 Tc
0.500 0.500 0.000 Zr
0.250 0.750 0.500 Zr
0.375 0.228 0.750 Ca
0.875 0.022 0.750 Ca
0.978 0.625 0.250 Ca
0.772 0.125 0.250 Ca
```

Summary:
The formation energy comes out at 0.7193 eV per atom. The crystal system is tetragonal. The calculation puts the offset from the most stable computed form at 0.632 eV per atom. As for the total energy: -5.010 eV/atom. The value obtained for the size of the total moment is 0.0 Bohr magnetons per cell. The space group is I-42d (122).

Material: KZr2Cd
Method: DFT, PBE
State: optimized geometry

POSCAR file:
```
KZr2Cd
1.0
-5.160 1.737 10.312
-2.511 0.026 11.388
-2.297 3.321 10.940
Zr Cd K
2 1 1
Direct
0.986 0.986 0.986 Zr
0.250 0.250 0.250 Zr
0.510 0.510 0.510 Cd
0.753 0.753 0.753 K
```

Summary:
The formation energy comes out at 0.2622 eV per atom. The crystal system is trigonal. As for the total energy: -4.515 eV/atom. The value obtained for the size of the total moment is 0.0 Bohr magnetons per cell. The space group is R3m (160).

Material: ReTeOsI2
Method: DFT, PBE
State: optimized geometry

POSCAR file:
```
ReTeOsI2
1.0
-4.112 1.113 -3.541
-2.444 -4.789 1.332
-2.553 2.332 3.698
Te Re I Os
1 1 2 1
Direct
0.000 0.000 0.500 Te
0.500 0.500 0.500 Re
0.500 0.000 0.000 I
0.000 0.500 0.000 I
0.000 0.000 0.000 Os
```

Summary:
The crystal system is tetragonal. The calculation puts the offset from the most stable computed form at 0.000 eV per atom. As for the raw formation energy: 1.73 eV per atom. As for the total energy: -4.257 eV/atom. The value obtained for the size of the total moment is 4.9 Bohr magnetons per cell. The space group is P4/mmm (123).